[1]
First-principles (PBE) data for a relaxed Ca3HfBr crystal, as listed in Alexandria via LeMat-Bulk.

Cell: 6.148 6.148 6.148 Å, 90.00 90.00 90.00°
Space group Pm-3m (No. 221)
Inequivalent atoms, fractional coordinates:
Ca 0.000 0.000 0.500 x3
Hf 0.000 0.000 0.000 x1
Br 0.500 0.500 0.500 x1

Summary:
The energy relative to the elements, uncorrected comes out at 0.647 eV per atom. The value obtained for the offset from the most stable computed form is 502 meV/atom.

***

[2]
First-principles (PBE) data for a relaxed NiHg2Ir2Se6 crystal, as listed in Alexandria via LeMat-Bulk.

Cell: 6.474 11.050 7.769 Å, 90.00 110.42 90.00°
Space group C2/m (No. 12)
Inequivalent atoms, fractional coordinates:
Ni 0.000 0.000 0.000 x2
Hg 0.000 0.178 0.500 x4
Ir 0.000 0.331 0.000 x4
Se 0.241 0.166 0.176 x8
Se 0.247 0.000 0.830 x4

Summary:
The energy relative to the elements, uncorrected comes out at -0.212 eV per atom.

***

[3]
First-principles (PBE) data for a relaxed TlSn3As3 crystal, as listed in Alexandria via LeMat-Bulk.

Cell: 11.744 4.268 11.752 Å, 90.00 119.89 90.00°
Space group P2_1/m (No. 11)
Inequivalent atoms, fractional coordinates:
Tl 0.167 0.250 0.333 x2
Sn 0.097 0.250 0.650 x2
Sn 0.150 0.750 0.053 x2
Sn 0.447 0.750 0.597 x2
As 0.052 0.250 0.880 x2
As 0.172 0.750 0.552 x2
As 0.380 0.750 0.328 x2

Summary:
The formation energy comes out at 0.572 eV/f.u.

***

[4]
First-principles (PBE) data for a relaxed NaTl2AgBr8 crystal, as listed in Alexandria via LeMat-Bulk.

Cell: 9.719 9.719 9.097 Å, 90.00 90.00 90.00°
Space group I-4m2 (No. 119)
Inequivalent atoms, fractional coordinates:
Na 0.000 0.000 0.000 x2
Tl 0.000 0.000 0.500 x2
Tl 0.000 0.500 0.750 x2
Ag 0.000 0.500 0.250 x2
Br 0.000 0.204 0.305 x8
Br 0.000 0.304 0.948 x8

Summary:
The energy relative to the elements, uncorrected comes out at -0.569 eV per atom.

***

[5]
First-principles (PBE) data for a relaxed Mg2TlAg crystal, as listed in Alexandria via LeMat-Bulk.

Cell: 3.569 4.052 6.096 Å, 90.00 90.00 90.00°
Space group Pmm2 (No. 25)
Inequivalent atoms, fractional coordinates:
Mg 0.000 0.000 0.000 x1
Mg 0.500 0.500 0.278 x1
Tl 0.000 0.000 0.519 x1
Ag 0.500 0.500 0.805 x1

Summary:
The formation energy comes out at -0.154 eV/f.u.

***

[6]
First-principles (PBE) data for a relaxed TiVPdS2 crystal, as listed in Alexandria via LeMat-Bulk.

Cell: 4.574 4.574 4.743 Å, 90.00 90.00 90.00°
Space group P4/mmm (No. 123)
Inequivalent atoms, fractional coordinates:
Ti 0.000 0.000 0.000 x1
V 0.500 0.500 0.500 x1
Pd 0.000 0.000 0.500 x1
S 0.000 0.500 0.000 x2

Summary:
The energy relative to the elements, uncorrected comes out at 0.298 eV per atom.

***

[7]
First-principles (PBE) data for a relaxed Mg6CdHg crystal, as listed in Alexandria via LeMat-Bulk.

Cell: 4.447 4.447 8.845 Å, 90.00 90.00 90.00°
Space group P4/mmm (No. 123)
Inequivalent atoms, fractional coordinates:
Mg 0.000 0.000 0.000 x1
Mg 0.000 0.000 0.500 x1
Mg 0.000 0.500 0.248 x4
Cd 0.500 0.500 0.500 x1
Hg 0.500 0.500 0.000 x1

Summary:
The formation energy comes out at -0.783 eV/f.u.

***

[8]
First-principles (PBE) data for a relaxed Cu crystal, as listed in Alexandria via LeMat-Bulk.

Cell: 4.453 2.576 6.426 Å, 90.00 103.59 90.00°
Space group C2/m (No. 12)
Inequivalent atoms, fractional coordinates:
Cu 0.000 0.000 0.000 x2
Cu 0.222 0.000 0.667 x4

Summary:
The value obtained for the offset from the most stable computed form is 0 meV/atom. The formation energy comes out at 0.000 eV/f.u.

***

[9]
First-principles (PBE) data for a relaxed SrCo4P2 crystal, as listed in Alexandria via LeMat-Bulk.

Cell: 3.800 14.543 3.795 Å, 90.00 90.00 90.00°
Space group Cmmm (No. 65)
Inequivalent atoms, fractional coordinates:
Sr 0.000 0.000 0.000 x2
Co 0.000 0.195 0.500 x4
Co 0.000 0.303 0.000 x4
P 0.000 0.383 0.500 x4

Summary:
The formation energy comes out at -3.480 eV/f.u.

***

[10]
First-principles (PBE) data for a relaxed DySc2H8 crystal, as listed in Alexandria via LeMat-Bulk.

Cell: 3.425 4.921 10.327 Å, 90.00 90.00 90.00°
Space group Immm (No. 71)
Inequivalent atoms, fractional coordinates:
Dy 0.000 0.000 0.000 x2
Sc 0.000 0.000 0.330 x4
H 0.000 0.210 0.500 x4
H 0.000 0.271 0.166 x8
H 0.000 0.500 0.344 x4

***

[11]
First-principles (PBE) data for a relaxed Na2Si2Pd crystal, as listed in Alexandria via LeMat-Bulk.

Cell: 4.925 15.136 5.637 Å, 90.00 90.00 90.00°
Space group Cmcm (No. 63)
Inequivalent atoms, fractional coordinates:
Na 0.000 0.072 0.250 x4
Na 0.000 0.298 0.750 x4
Si 0.248 0.387 0.250 x8
Pd 0.000 0.500 0.000 x4

Summary:
The energy relative to the elements, uncorrected comes out at -0.142 eV per atom. The value obtained for the offset from the most stable computed form is 62 meV/atom.

***

[12]
First-principles (PBE) data for a relaxed LiCrSe2N crystal, as listed in Alexandria via LeMat-Bulk.

Cell: 5.011 5.011 3.530 Å, 90.00 90.00 90.00°
Space group P4/mmm (No. 123)
Inequivalent atoms, fractional coordinates:
Li 0.000 0.000 0.000 x1
Cr 0.500 0.500 0.500 x1
Se 0.000 0.500 0.500 x2
N 0.500 0.500 0.000 x1

Summary:
The energy relative to the elements, uncorrected comes out at -0.143 eV per atom. The value obtained for the offset from the most stable computed form is 0 meV/atom.

***

[13]
First-principles (PBE) data for a relaxed ScSe2N2 crystal, as listed in Alexandria via LeMat-Bulk.

Cell: 5.234 5.234 4.233 Å, 90.00 90.00 90.00°
Space group P4/mmm (No. 123)
Inequivalent atoms, fractional coordinates:
Sc 0.000 0.000 0.000 x1
Se 0.000 0.500 0.000 x2
N 0.000 0.000 0.500 x1
N 0.500 0.500 0.500 x1

Summary:
The energy relative to the elements, uncorrected comes out at 1.250 eV per atom. The value obtained for the offset from the most stable computed form is 737 meV/atom.

***

[14]
First-principles (PBE) data for a relaxed TbYCdNi crystal, as listed in Alexandria via LeMat-Bulk.

Cell: 7.171 7.171 7.171 Å, 90.00 90.00 90.00°
Space group F-43m (No. 216)
Inequivalent atoms, fractional coordinates:
Tb 0.000 0.000 0.000 x4
Y 0.000 0.000 0.500 x4
Cd 0.250 0.250 0.250 x4
Ni 0.250 0.250 0.750 x4

Summary:
The formation energy comes out at -1.048 eV/f.u.

***

[15]
First-principles (PBE) data for a relaxed CsRbZn2Ge crystal, as listed in Alexandria via LeMat-Bulk.

Cell: 4.560 5.998 12.085 Å, 90.00 90.00 90.00°
Space group Imm2 (No. 44)
Inequivalent atoms, fractional coordinates:
Cs 0.000 0.000 0.000 x2
Rb 0.000 0.000 0.378 x2
Zn 0.000 0.234 0.694 x4
Ge 0.000 0.500 0.193 x2

Summary:
The value obtained for the offset from the most stable computed form is 6 meV/atom. The formation energy comes out at 0.131 eV/f.u.

***

[16]
First-principles (PBE) data for a relaxed Ac3AgRu crystal, as listed in Alexandria via LeMat-Bulk.

Cell: 13.118 5.763 9.449 Å, 90.00 104.64 90.00°
Space group C2/m (No. 12)
Inequivalent atoms, fractional coordinates:
Ac 0.088 0.000 0.206 x4
Ac 0.138 0.500 0.920 x4
Ac 0.174 0.000 0.624 x4
Ag 0.076 0.500 0.415 x4
Ru 0.133 0.000 0.902 x4

Summary:
The value obtained for the offset from the most stable computed form is 60 meV/atom. The formation energy comes out at -0.867 eV/f.u.

***

[17]
First-principles (PBE) data for a relaxed SrPr2Nd crystal, as listed in Alexandria via LeMat-Bulk.

Cell: 3.783 3.783 10.981 Å, 90.00 90.00 90.00°
Space group P4/mmm (No. 123)
Inequivalent atoms, fractional coordinates:
Sr 0.000 0.000 0.000 x1
Pr 0.500 0.500 0.274 x2
Nd 0.000 0.000 0.500 x1

Summary:
The value obtained for the offset from the most stable computed form is 0 meV/atom. The formation energy comes out at 0.293 eV/f.u.

***

[18]
First-principles (PBE) data for a relaxed BeNiCl2 crystal, as listed in Alexandria via LeMat-Bulk.

Cell: 4.727 2.990 4.751 Å, 90.00 92.40 90.00°
Space group P2/m (No. 10)
Inequivalent atoms, fractional coordinates:
Be 0.000 0.000 0.000 x1
Ni 0.500 0.000 0.500 x1
Cl 0.221 0.500 0.778 x2

Summary:
The energy relative to the elements, uncorrected comes out at 0.038 eV per atom. The value obtained for the offset from the most stable computed form is 496 meV/atom.

***

[19]
First-principles (PBE) data for a relaxed La4Pm4Ho3 crystal, as listed in Alexandria via LeMat-Bulk.

Cell: 10.846 5.797 12.158 Å, 90.00 90.00 90.00°
Space group Amm2 (No. 38)
Inequivalent atoms, fractional coordinates:
La 0.000 0.000 0.000 x2
La 0.199 0.000 0.803 x4
La 0.500 0.000 0.931 x2
Pm 0.000 0.000 0.588 x2
Pm 0.303 0.000 0.150 x4
Pm 0.500 0.000 0.656 x2
Ho 0.000 0.000 0.296 x2
Ho 0.289 0.000 0.455 x4

Summary:
The value obtained for the offset from the most stable computed form is 21 meV/atom. The formation energy comes out at 1.495 eV/f.u.

***

[20]
First-principles (PBE) data for a relaxed LiNbPt3 crystal, as listed in Alexandria via LeMat-Bulk.

Cell: 4.085 12.575 6.532 Å, 90.00 90.00 90.00°
Space group Cmcm (No. 63)
Inequivalent atoms, fractional coordinates:
Li 0.000 0.140 0.250 x4
Nb 0.000 0.143 0.750 x4
Pt 0.000 0.325 0.524 x8
Pt 0.000 0.493 0.250 x4

Summary:
The value obtained for the offset from the most stable computed form is 0 meV/atom. The formation energy comes out at -2.207 eV/f.u.

***

Total DFT energy (no corrections): -2.8790; -4.3039; -3.9645; -2.4258; -2.1403; -5.7943; -1.4459; -4.0962; -6.3436; -4.5745; -3.8772; -5.5092; -4.7403; -4.7098; -1.7710; -5.0638; -3.9289; -3.2623; -4.6319; -6.4625 (eV/atom)